Material: FeNiAu2
Method: DFT, GGA-PBEsol
State: relaxed

Formation enthalpy at 0 K, eV per atom: 0.2154
Offset from the most stable computed form, meV per atom: 141.7
Final energy, eV per cell: -66.3

Geometry as CIF:
```
data_FeNiAu2
_chemical_formula_sum 'Fe3 Ni3 Au6'
_cell_length_a 2.7574
_cell_length_b 2.7574
_cell_length_c 25.8554
_cell_angle_alpha 90.00
_cell_angle_beta 90.00
_cell_angle_gamma 120.00
_symmetry_space_group_name_H-M 'R -3 m'
_symmetry_Int_Tables_number 166
_symmetry_space_group_name_Hall '-R 3 2"'
loop_
_atom_site_label
_atom_site_type_symbol
_atom_site_fract_x
_atom_site_fract_y
_atom_site_fract_z
Fe1 Fe 0.0000 0.0000 0.0000
Ni1 Ni 0.0000 0.0000 0.5000
Au1 Au 0.0000 0.0000 0.2489
```

Material: TlIn2Hg
Method: DFT, GGA-PBEsol
State: relaxed

Formation enthalpy at 0 K, eV per atom: 0.0375
Final energy, eV per cell: -36.1

Geometry as CIF:
```
data_TlIn2Hg
_chemical_formula_sum 'Tl4 In8 Hg4'
_cell_length_a 8.295
_cell_length_b 8.295
_cell_length_c 6.231
_cell_angle_alpha 90.00
_cell_angle_beta 90.00
_cell_angle_gamma 90.00
_symmetry_space_group_name_H-M 'I -4 2 d'
_symmetry_Int_Tables_number 122
_symmetry_space_group_name_Hall 'I -4 2bw'
loop_
_atom_site_label
_atom_site_type_symbol
_atom_site_fract_x
_atom_site_fract_y
_atom_site_fract_z
Tl1 Tl 0.000 0.000 0.000
In1 In 0.231 0.250 0.625
Hg1 Hg 0.000 0.000 0.500
```

Material: LiTmPt2
Method: DFT, GGA-PBEsol
State: relaxed

Formation enthalpy at 0 K, eV per atom: -0.8979
Final energy, eV per cell: -97.5

Geometry as CIF:
```
data_LiTmPt2
_chemical_formula_sum 'Li4 Tm4 Pt8'
_cell_length_a 6.452
_cell_length_b 6.452
_cell_length_c 6.452
_cell_angle_alpha 90.00
_cell_angle_beta 90.00
_cell_angle_gamma 90.00
_symmetry_space_group_name_H-M 'F m -3 m'
_symmetry_Int_Tables_number 225
_symmetry_space_group_name_Hall '-F 4 2 3'
loop_
_atom_site_label
_atom_site_type_symbol
_atom_site_fract_x
_atom_site_fract_y
_atom_site_fract_z
Li1 Li 0.000 0.000 0.000
Tm1 Tm 0.000 0.000 0.500
Pt1 Pt 0.250 0.250 0.250
```

Material: RhS2N
Method: DFT, GGA-PBEsol
State: relaxed

Final energy, eV per cell: -75.4
Energy relative to the elements, uncorrected, eV/atom: 0.072

Geometry as CIF:
```
data_RhS2N
_chemical_formula_sum 'Rh3 S6 N3'
_cell_length_a 3.6127
_cell_length_b 3.6127
_cell_length_c 16.1005
_cell_angle_alpha 90.00
_cell_angle_beta 90.00
_cell_angle_gamma 120.00
_symmetry_space_group_name_H-M 'R -3 m'
_symmetry_Int_Tables_number 166
_symmetry_space_group_name_Hall '-R 3 2"'
loop_
_atom_site_label
_atom_site_type_symbol
_atom_site_fract_x
_atom_site_fract_y
_atom_site_fract_z
Rh1 Rh 0.0000 0.0000 0.0000
S1 S 0.0000 0.0000 0.4033
N1 N 0.0000 0.0000 0.5000
```